A plane-wave DFT calculation with PBE was carried out for an optimized crystal structure of ScRuO2.

abc: 3.9275 3.9275 3.9275
angles: 60.00 60.00 60.00
With the nearest neighbours (Å) after each atom.
Fractional coordinates of all 4 atoms:
1 Sc 0.0000 0.0000 0.0000  8 O 2.41
2 Ru 0.5000 0.5000 0.5000  8 O 2.41
3 O 0.2500 0.2500 0.2500  4 Ru 2.41, 4 Sc 2.41
4 O 0.7500 0.7500 0.7500  4 Ru 2.41, 4 Sc 2.41

## Properties
- formation energy from raw total energies (eV per atom) = -1.207
- total magnetic moment (μB/f.u.) = 1.82
- crystal system = cubic
- electronic total energy (eV per atom) = -7.59